This record from Alexandria via LeMat-Bulk describes a PBEsol-optimized structure of V3Zn2O8. The functional is meta-GGA SCAN.

It has space group P6_3mc (No. 186), with a = 5.6971 Å, b = 5.6971 Å, c = 9.4908 Å, α = 90.00°, β = 90.00° and γ = 120.00°. The inequivalent atoms are V at (0.1550, 0.3101, 0.0000), Zn at (0.3333, 0.6667, 0.3107), Zn at (0.3333, 0.6667, 0.7243), O at (0.0000, 0.0000, 0.3780), O at (0.0317, 0.5159, 0.8850), O at (0.1621, 0.3242, 0.6061) and O at (0.3333, 0.6667, 0.1054).

Its size of the total moment is 6.00 Bohr magnetons per cell. The excess energy over the best structure of this formula in the dataset comes out at 0.0 meV per atom.